1.
Entry from the Alexandria database: a relaxed Be2NiPb crystal (PBE).

Cell: 3.7885 3.7885 5.3506 Å, 69.24 69.24 59.78°
Fractional coordinates of all 4 atoms:
Be 0.7558 0.7558 0.7307
Be 0.0641 0.0641 0.8076
Pb 0.2462 0.2462 0.2646
Ni 0.4339 0.4339 0.6971

Computed properties:
* calculated formation energy: 0.14 eV per atom
* energy: -4.09 eV per atom
* symmetry: Cm, No. 8
* calculated density: 7.8 g/cm³
* total moment: 0.000 μB/cell
* N(E_F): 1.6 states/eV per cell

2.
Entry from the Alexandria database: a relaxed Be2NiPb crystal (PBE).

Cell: 3.0812 3.0801 5.9741 Å, 90.00 90.00 90.00°
Fractional coordinates of all 4 atoms:
Be 0.0000 0.0000 0.0703
Be 0.5000 0.5000 0.2648
Pb 0.5000 0.5000 0.7511
Ni 0.0000 0.0000 0.4139

Computed properties:
* calculated formation energy: 0.34 eV per atom
* energy: -3.89 eV per atom
* symmetry: P4mm, No. 99
* calculated density: 8.3 g/cm³
* total moment: 0.000 μB/cell
* N(E_F): 1.6 states/eV per cell

3.
Entry from the Alexandria database: a relaxed BeNi3Pb crystal (PBE).

Cell: 4.7176 4.7176 4.7176 Å, 90.00 90.00 90.00°
Fractional coordinates of all 5 atoms:
Ni 0.0000 0.5000 0.0000
Ni 0.5000 0.0000 0.0000
Ni 0.0000 0.0000 0.5000
Be 0.5000 0.5000 0.5000
Pb 0.0000 0.0000 0.0000

Computed properties:
* calculated formation energy: 1.59 eV per atom
* energy: -3.37 eV per atom
* symmetry: Pm-3m, No. 221
* calculated density: 6.2 g/cm³
* total moment: 0.000 μB/cell
* N(E_F): 3.3 states/eV per cell

4.
Entry from the Alexandria database: a relaxed BeNiPb2 crystal (PBE).

Cell: 3.4501 3.4501 6.7506 Å, 90.00 90.00 99.46°
Fractional coordinates of all 4 atoms:
Pb 0.0000 0.0000 0.9951
Pb 0.0000 0.0000 0.5049
Ni 0.5000 0.5000 0.7500
Be 0.5000 0.5000 0.2500

Computed properties:
* calculated formation energy: 0.55 eV per atom
* energy: -3.68 eV per atom
* symmetry: Cmmm, No. 65
* calculated density: 10.1 g/cm³
* total moment: 0.000 μB/cell
* N(E_F): 1.9 states/eV per cell

5.
Entry from the Alexandria database: a relaxed BeNiPb crystal (PBE).

Cell: 3.8092 3.8092 3.8135 Å, 90.00 90.00 120.00°
Fractional coordinates of all 3 atoms:
Be 0.0000 0.0000 0.1667
Ni 0.6667 0.3333 0.1667
Pb 0.3333 0.6667 0.6667

Computed properties:
* calculated formation energy: 0.29 eV per atom
* energy: -4.11 eV per atom
* symmetry: P-6m2, No. 187
* calculated density: 9.5 g/cm³
* total moment: 0.000 μB/cell
* N(E_F): 2.0 states/eV per cell

6.
Entry from the Alexandria database: a relaxed BeNiPb2 crystal (PBE).

Cell: 3.3419 3.3660 7.2717 Å, 76.32 90.00 90.00°
Fractional coordinates of all 4 atoms:
Pb 0.0000 0.0548 0.9896
Pb 0.0000 0.4452 0.5104
Ni 0.5000 0.7500 0.7500
Be 0.5000 0.2500 0.2500

Computed properties:
* calculated formation energy: 0.54 eV per atom
* energy: -3.69 eV per atom
* symmetry: P2/m, No. 10
* calculated density: 10.1 g/cm³
* total moment: 0.000 μB/cell
* N(E_F): 1.9 states/eV per cell